Material: Cu2IrW
Method: DFT, GGA-PBE
State: relaxed

For the density, the calculation gives 14.9 g cm⁻³. Its calculated formation energy is 0.9 eV per formula unit. Its space-group type is R-3m. The total magnetization is 0.03 μB/f.u. The calculation puts the relative energy among the computed polymorphs at 0.174 eV/atom.

Lattice parameters (Å, degrees): 2.703 2.703 26.542 90.00 90.00 120.00
Sites, in units of the cell vectors:
Cu1 0.000 0.000 0.249
Cu2 0.000 0.000 0.751
Cu3 0.333 0.667 0.417
Cu4 0.333 0.667 0.916
Cu5 0.667 0.333 0.084
Cu6 0.667 0.333 0.583
Ir1 0.000 0.000 0.500
Ir2 0.333 0.667 0.167
Ir3 0.667 0.333 0.833
W1 0.000 0.000 0.000
W2 0.333 0.667 0.667
W3 0.667 0.333 0.333